# 1
DFT (PBE) results for crystalline NdMg4In15 at its relaxed geometry.

Energy in eV/atom: -2.724
ΔE_f in eV per atom: -0.1127
Total magnetization in μB/f.u.: 0.0

a b c (Å): 4.6589 4.6589 23.2511
angles (deg): 90.00 90.00 90.00
Fractional positions:
Mg 0.0000 0.0000 0.7985
Mg 0.0000 0.0000 0.5997
Mg 0.0000 0.0000 0.4003
Mg 0.0000 0.0000 0.2015
In 0.5000 0.5000 0.5984
In 0.5000 0.0000 0.8951
In 0.0000 0.5000 0.5000
In 0.0000 0.5000 0.8951
In 0.5000 0.5000 0.7960
In 0.5000 0.5000 0.4016
In 0.0000 0.5000 0.1049
In 0.5000 0.5000 0.2040
In 0.5000 0.0000 0.1049
In 0.5000 0.0000 0.5000
In 0.5000 0.0000 0.3018
In 0.5000 0.5000 0.0000
In 0.5000 0.0000 0.6982
In 0.0000 0.5000 0.6982
In 0.0000 0.5000 0.3018
Nd 0.0000 0.0000 0.0000



# 2
DFT (PBE) results for crystalline Nd6MgIn2 at its relaxed geometry.

Energy in eV/atom: -4.152
ΔE_f in eV per atom: -0.1882
Total magnetization in μB/f.u.: 0.0

a b c (Å): 6.6815 9.6854 10.3646
angles (deg): 90.00 57.74 90.00
Fractional positions:
Mg 0.5000 0.5000 0.0000
Mg 0.0000 0.0000 0.5000
Nd 0.5316 0.1698 0.8328
Nd 0.5192 0.5029 0.3298
Nd 0.5246 0.8296 0.5062
Nd 0.9684 0.6698 0.6672
Nd 0.4754 0.1704 0.4938
Nd 0.0246 0.6704 0.0062
Nd 0.9808 0.0029 0.1702
Nd 0.4684 0.8302 0.1672
Nd 0.0192 0.9971 0.8298
Nd 0.9754 0.3296 0.9938
Nd 0.4808 0.4971 0.6702
Nd 0.0316 0.3302 0.3328
In 0.0027 0.3445 0.6658
In 0.9973 0.6555 0.3342
In 0.5027 0.1555 0.1658
In 0.4973 0.8445 0.8342



# 3
DFT (PBE) results for crystalline Nd3Mg2In3 at its relaxed geometry.

Energy in eV/atom: -3.549
ΔE_f in eV per atom: -0.3354
Total magnetization in μB/f.u.: 0.0

a b c (Å): 4.6418 4.9921 9.9412
angles (deg): 104.61 103.48 89.98
Fractional positions:
Nd 0.1308 0.6311 0.2623
Nd 0.8692 0.3689 0.7377
Nd 0.0000 0.0000 0.0000
In 0.3599 0.8602 0.7197
In 0.5000 0.5000 0.0000
In 0.6401 0.1398 0.2803
Mg 0.2451 0.2465 0.4914
Mg 0.7549 0.7535 0.5086



# 4
DFT (PBE) results for crystalline Nd2MgIn5 at its relaxed geometry.

Energy in eV/atom: -3.547
ΔE_f in eV per atom: -0.4441
Total magnetization in μB/f.u.: 0.0

a b c (Å): 6.6180 6.6180 6.6180
angles (deg): 90.75 119.57 119.57
Fractional positions:
In 0.0000 0.2776 0.2776
In 0.0000 0.7777 0.2778
In 0.5001 0.2778 0.2778
In 0.0000 0.2778 0.7777
In 0.4999 0.7777 0.7777
Nd 0.5000 0.7779 0.2779
Nd 0.5000 0.2779 0.7779
Mg 0.0000 0.7776 0.7776



# 5
DFT (PBE) results for crystalline Nd7MgIn3 at its relaxed geometry.

Energy in eV/atom: -4.049
ΔE_f in eV per atom: -0.1230
Total magnetization in μB/f.u.: 0.0

a b c (Å): 5.9432 8.3324 8.3324
angles (deg): 91.32 111.10 111.10
Fractional positions:
Nd 0.8229 0.8253 0.8253
Nd 0.0000 0.5000 0.5000
Nd 0.3275 0.0528 0.6010
Nd 0.3275 0.6010 0.0528
Nd 0.1771 0.1747 0.1747
Nd 0.6725 0.9472 0.3990
Nd 0.6725 0.3990 0.9472
In 0.5000 0.0000 0.0000
In 0.0000 0.2351 0.7649
In 0.0000 0.7649 0.2351
Mg 0.5000 0.5000 0.5000



# 6
DFT (PBE) results for crystalline Nd3Mg2In at its relaxed geometry.

Energy in eV/atom: -3.621
ΔE_f in eV per atom: -0.2490
Total magnetization in μB/f.u.: 0.0

a b c (Å): 3.9066 5.4583 8.6723
angles (deg): 108.34 90.00 90.00
Fractional positions:
Mg 0.0000 0.3303 0.6607
Mg 0.0000 0.6697 0.3393
Nd 0.5000 0.5000 0.0000
Nd 0.5000 0.1658 0.3315
Nd 0.5000 0.8342 0.6685
In 0.0000 0.0000 0.0000



# 7
DFT (PBE) results for crystalline NdMgInNi at its relaxed geometry.

Energy in eV/atom: -3.928
ΔE_f in eV per atom: -0.2074
Total magnetization in μB/f.u.: 0.0

a b c (Å): 4.9875 4.9875 4.9875
angles (deg): 60.00 60.00 60.00
Fractional positions:
Mg 0.2500 0.2500 0.2500
Ni 0.0000 0.0000 0.0000
Nd 0.7500 0.7500 0.7500
In 0.5000 0.5000 0.5000



# 8
DFT (PBE) results for crystalline Nd12MgIn4O3 at its relaxed geometry.

Energy in eV/atom: -5.118
Formation energy (no corrections) in eV per atom: -0.886
Total magnetization in μB/f.u.: 0.0

a b c (Å): 8.9328 8.9328 8.9328
angles (deg): 109.47 109.47 109.47
Fractional positions:
O 0.5000 0.0000 0.5000
O 0.0000 0.5000 0.5000
O 0.5000 0.5000 0.0000
In 0.0000 0.5000 0.0000
In 0.5000 0.0000 0.0000
In 0.5000 0.5000 0.5000
In 0.0000 0.0000 0.5000
Nd 0.2718 0.0000 0.2718
Nd 0.0000 0.2718 0.2718
Nd 0.2718 0.2718 0.0000
Nd 0.7500 0.5000 0.2500
Nd 0.7282 0.0000 0.7282
Nd 0.7282 0.7282 0.0000
Nd 0.7500 0.2500 0.5000
Nd 0.5000 0.7500 0.2500
Nd 0.0000 0.7282 0.7282
Nd 0.2500 0.5000 0.7500
Nd 0.2500 0.7500 0.5000
Nd 0.5000 0.2500 0.7500
Mg 0.0000 0.0000 0.0000



# 9
DFT (PBE) results for crystalline NdMg2InPd4 at its relaxed geometry.

Energy in eV/atom: -4.594
ΔE_f in eV per atom: -0.6611
Total magnetization in μB/f.u.: 0.0

a b c (Å): 4.7059 4.7059 8.2996
angles (deg): 73.53 73.53 60.00
Fractional positions:
Nd 0.0000 0.0000 0.0000
Mg 0.2443 0.2443 0.2672
Mg 0.7557 0.7557 0.7328
Pd 0.8735 0.8735 0.3796
Pd 0.6147 0.6147 0.1558
Pd 0.3853 0.3853 0.8442
Pd 0.1265 0.1265 0.6204
In 0.5000 0.5000 0.5000



# 10
DFT (PBE) results for crystalline NdMgIn2Pd4 at its relaxed geometry.

Energy in eV/atom: -4.750
ΔE_f in eV per atom: -0.6733
Total magnetization in μB/f.u.: 0.0

a b c (Å): 4.7362 4.7362 8.3019
angles (deg): 73.43 73.43 60.00
Fractional positions:
Pd 0.6136 0.6136 0.1592
Pd 0.3864 0.3864 0.8408
Pd 0.8722 0.8722 0.3833
Pd 0.1278 0.1278 0.6167
Mg 0.5000 0.5000 0.5000
In 0.2469 0.2469 0.2593
In 0.7531 0.7531 0.7407
Nd 0.0000 0.0000 0.0000



# 11
DFT (PBE) results for crystalline NdMgInPd at its relaxed geometry.

Energy in eV/atom: -4.093
ΔE_f in eV per atom: -0.5192
Total magnetization in μB/f.u.: 0.0

a b c (Å): 5.0588 5.0588 5.0588
angles (deg): 60.00 60.00 60.00
Fractional positions:
Nd 0.2500 0.2500 0.2500
Mg 0.7500 0.7500 0.7500
Pd 0.0000 0.0000 0.0000
In 0.5000 0.5000 0.5000



# 12
DFT (PBE) results for crystalline PmNdMgIn at its relaxed geometry.

Energy in eV/atom: -3.799
ΔE_f in eV per atom: -0.3359
Total magnetization in μB/f.u.: 0.0

a b c (Å): 5.4617 5.4617 5.4617
angles (deg): 60.00 60.00 60.00
Fractional positions:
Mg 0.0000 0.0000 0.0000
In 0.5000 0.5000 0.5000
Pm 0.2500 0.2500 0.2500
Nd 0.7500 0.7500 0.7500



Number 1: density of states at the Fermi level 10.22 states/eV per cell. Number 2: density of states at the Fermi level 20.93 states/eV per cell. Number 3: density of states at the Fermi level 4.79 states/eV per cell. Number 4: density of states at the Fermi level 4.45 states/eV per cell. Number 5: density of states at the Fermi level 12.31 states/eV per cell. Number 6: density of states at the Fermi level 6.73 states/eV per cell. Number 7: density of states at the Fermi level 2.45 states/eV per cell. Number 8: density of states at the Fermi level 16.44 states/eV per cell. Number 9: density of states at the Fermi level 4.00 states/eV per cell. Number 10: density of states at the Fermi level 4.75 states/eV per cell. Number 11: density of states at the Fermi level 1.54 states/eV per cell. Number 12: density of states at the Fermi level 3.53 states/eV per cell.